Arrangement w

## TmPuIn4 (PBE)

Data for crystalline TmPuIn4 at its relaxed geometry.

Structure (POSCAR):
```
TmPuIn4
1.0
0.0000 4.2503 4.2503
4.2503 0.0000 4.2503
4.2503 4.2503 0.0000
Tm Pu In
1 1 4
Direct
0.0000 0.0000 0.0000
0.2500 0.2500 0.2500
0.1251 0.6250 0.6250
0.6250 0.1251 0.6250
0.6250 0.6250 0.1251
0.6250 0.6250 0.6250
```

Calculated values
The calculation puts the density of states at the Fermi level at 18.283 states/eV per cell.



Arrangement x

## TmPuIn4 (PBE)

Data for crystalline TmPuIn4 at its relaxed geometry.

Structure (POSCAR):
```
TmPuIn4
1.0
3.3889 0.0000 0.0000
0.0000 5.0557 0.0000
-0.0024 0.0000 8.8585
Tm Pu In
1 1 4
Direct
0.0000 0.0000 0.0000
0.0000 0.5000 0.5000
0.4984 0.5000 0.1640
0.4990 0.0000 0.6691
0.5010 0.0000 0.3309
0.5016 0.5000 0.8360
```

Calculated values
The calculation puts the density of states at the Fermi level at 10.658 states/eV per cell.



Out of the structures above, which one is the most stable? Solution: arrangement x.